--- a ---
BeZn2P after structural relaxation, computed with PBE.

The structure belongs to space group Imm2 (No. 44); the cell edges are 2.6916, 3.9478 and 10.6884 Å and the angles 90.00°, 90.00° and 90.00°. Symmetry generates all atoms from Be at (0.0000, 0.0000, 0.0000), Zn at (0.0000, 0.0000, 0.4699), Zn at (0.0000, 0.5000, 0.2898) and P at (0.0000, 0.5000, 0.6710).

As for the volume: 14.20 Å³ per atom. The value obtained for the spin magnetization is 0.000 μB/cell.

---

--- b ---
BeZn2P after structural relaxation, computed with PBE.

The structure belongs to space group Pmm2 (No. 25); the cell edges are 2.5343, 3.3109 and 6.7855 Å and the angles 90.00°, 90.00° and 90.00°. Symmetry generates all atoms from Be at (0.0000, 0.0000, 0.0000), Zn at (0.0000, 0.0000, 0.4853), Zn at (0.5000, 0.5000, 0.7528) and P at (0.5000, 0.5000, 0.1510).

As for the volume: 14.23 Å³ per atom. The value obtained for the spin magnetization is 0.000 μB/cell.

---

Energies, relative to the best one, in meV per atom: a 0; b 31.

---

--- a ---
BeZn2P after structural relaxation, computed with PBE.

The structure belongs to space group P4mm (No. 99); the cell edges are 3.1999, 3.1999 and 5.6972 Å and the angles 90.00°, 90.00° and 90.00°. Symmetry generates all atoms from Be at (0.0000, 0.0000, 0.0000), Zn at (0.0000, 0.0000, 0.4197), Zn at (0.5000, 0.5000, 0.6613) and P at (0.5000, 0.5000, 0.0819).

As for the volume: 14.58 Å³ per atom. The value obtained for the spin magnetization is 0.000 μB/cell.

---

--- b ---
BeZn2P after structural relaxation, computed with PBE.

The structure belongs to space group C2/m (No. 12); the cell edges are 11.5990, 3.1650 and 3.2165 Å and the angles 90.00°, 105.33° and 90.00°. Symmetry generates all atoms from Be at (0.0000, 0.0000, 0.0000), Zn at (0.1832, 0.5000, 0.1799) and P at (0.0000, 0.5000, 0.5000).

As for the volume: 14.23 Å³ per atom. The value obtained for the spin magnetization is 0.000 μB/cell.

---

Energies, relative to the best one, in meV per atom: a 117; b 0.

---

--- a ---
BeZn2P after structural relaxation, computed with PBE.

The structure belongs to space group F-43m (No. 216); the cell edges are 6.1201, 6.1201 and 6.1201 Å and the angles 90.00°, 90.00° and 90.00°. Symmetry generates all atoms from Be at (0.0000, 0.0000, 0.0000), Zn at (0.0000, 0.0000, 0.5000), Zn at (0.2500, 0.2500, 0.7500) and P at (0.2500, 0.2500, 0.2500).

As for the volume: 14.33 Å³ per atom. The value obtained for the spin magnetization is 0.001 μB/cell.

---

--- b ---
BeZn2P after structural relaxation, computed with PBE.

The structure belongs to space group R3m (No. 160, hexagonal axes); the cell edges are 2.9034, 2.9034 and 22.4955 Å and the angles 90.00°, 90.00° and 120.00°. Symmetry generates all atoms from Be at (0.0000, 0.0000, 0.0000), Zn at (0.0000, 0.0000, 0.2520), Zn at (0.0000, 0.0000, 0.4918) and P at (0.0000, 0.0000, 0.7338).

As for the volume: 13.69 Å³ per atom. The value obtained for the spin magnetization is 0.000 μB/cell.

---

--- c ---
BeZn2P after structural relaxation, computed with PBE.

The structure belongs to space group R-3m (No. 166, hexagonal axes); the cell edges are 2.8813, 2.8813 and 23.1227 Å and the angles 90.00°, 90.00° and 120.00°. Symmetry generates all atoms from Be at (0.0000, 0.0000, 0.0000), Zn at (0.0000, 0.0000, 0.2571) and P at (0.0000, 0.0000, 0.5000).

As for the volume: 13.85 Å³ per atom. The value obtained for the spin magnetization is 0.000 μB/cell.

---

Energies, relative to the best one, in meV per atom: a 254; b 0; c 86.